No. 1
! Tb7NiI12 meta-GGA SCAN single point on PBEsol structure; values from VASP
&SYSTEM
  ibrav = 0, nat = 20, ntyp = 3
/
ATOMIC_SPECIES
Tb 158.93 Tb.upf
Ni 58.69 Ni.upf
I 126.90 I.upf
CELL_PARAMETERS angstrom
7.6261 4.4029 3.4601
-7.6261 4.4029 3.4601
0.0000 -8.8058 3.4601
ATOMIC_POSITIONS crystal
Tb 0.0000 0.0000 0.0000
Tb 0.1975 0.3986 0.4686
Tb 0.3986 0.4686 0.1975
Tb 0.4686 0.1975 0.3986
Tb 0.5314 0.8025 0.6014
Tb 0.6014 0.5314 0.8025
Tb 0.8025 0.6014 0.5314
Ni 0.5000 0.5000 0.5000
I 0.0244 0.3457 0.1069
I 0.1069 0.0244 0.3457
I 0.1788 0.7307 0.5757
I 0.2693 0.4243 0.8212
I 0.3457 0.1069 0.0244
I 0.4243 0.8212 0.2693
I 0.5757 0.1788 0.7307
I 0.6543 0.8931 0.9756
I 0.7307 0.5757 0.1788
I 0.8212 0.2693 0.4243
I 0.8931 0.9756 0.6543
I 0.9756 0.6543 0.8931
! **Theoretical density**: 6.42 Mg/m³
! **E_form (uncorrected)**: -1.3359 eV/atom
! **Space group**: R-3, No. 148

***

No. 2
! TlTc2NiI meta-GGA SCAN single point on PBEsol structure; values from VASP
&SYSTEM
  ibrav = 0, nat = 5, ntyp = 4
/
ATOMIC_SPECIES
Tl 204.38 Tl.upf
Tc 98.00 Tc.upf
Ni 58.69 Ni.upf
I 126.90 I.upf
CELL_PARAMETERS angstrom
4.7058 0.0000 0.0000
0.0000 4.7058 0.0000
0.0000 0.0000 4.9187
ATOMIC_POSITIONS crystal
Tl 0.0000 0.0000 0.0000
Tc 0.0000 0.5000 0.5000
Tc 0.5000 0.0000 0.5000
Ni 0.5000 0.5000 0.5000
I 0.5000 0.5000 0.0000
! **Theoretical density**: 8.93 Mg/m³
! **E_form (uncorrected)**: 1.3482 eV/atom
! **Space group**: P4/mmm, No. 123

***

No. 3
! ZnNiTe2I meta-GGA SCAN single point on PBEsol structure; values from VASP
&SYSTEM
  ibrav = 0, nat = 5, ntyp = 4
/
ATOMIC_SPECIES
Zn 65.41 Zn.upf
Ni 58.69 Ni.upf
Te 127.60 Te.upf
I 126.90 I.upf
CELL_PARAMETERS angstrom
5.0043 0.0000 0.0000
0.0000 5.0043 0.0000
0.0000 0.0000 5.1795
ATOMIC_POSITIONS crystal
Zn 0.0000 0.0000 0.0000
Ni 0.5000 0.5000 0.5000
Te 0.0000 0.5000 0.5000
Te 0.5000 0.0000 0.5000
I 0.5000 0.5000 0.0000
! **Theoretical density**: 6.48 Mg/m³
! **E_form (uncorrected)**: 0.4515 eV/atom
! **Space group**: P4/mmm, No. 123

***

No. 4
! Ti3NiI meta-GGA SCAN single point on PBEsol structure; values from VASP
&SYSTEM
  ibrav = 0, nat = 5, ntyp = 3
/
ATOMIC_SPECIES
Ti 47.87 Ti.upf
Ni 58.69 Ni.upf
I 126.90 I.upf
CELL_PARAMETERS angstrom
4.5664 0.0000 0.0000
0.0000 4.5664 0.0000
0.0000 0.0000 4.5664
ATOMIC_POSITIONS crystal
Ti 0.0000 0.0000 0.5000
Ti 0.0000 0.5000 0.0000
Ti 0.5000 0.0000 0.0000
Ni 0.0000 0.0000 0.0000
I 0.5000 0.5000 0.5000
! **Theoretical density**: 5.74 Mg/m³
! **E_form (uncorrected)**: 0.3361 eV/atom
! **Space group**: Pm-3m, No. 221

***

No. 5
! TiTl2NiI meta-GGA SCAN single point on PBEsol structure; values from VASP
&SYSTEM
  ibrav = 0, nat = 5, ntyp = 4
/
ATOMIC_SPECIES
Ti 47.87 Ti.upf
Tl 204.38 Tl.upf
Ni 58.69 Ni.upf
I 126.90 I.upf
CELL_PARAMETERS angstrom
5.0895 0.0000 0.0000
0.0000 5.0895 0.0000
0.0000 0.0000 4.7405
ATOMIC_POSITIONS crystal
Ti 0.0000 0.0000 0.0000
Tl 0.0000 0.5000 0.5000
Tl 0.5000 0.0000 0.5000
Ni 0.0000 0.0000 0.5000
I 0.5000 0.5000 0.0000
! **Theoretical density**: 8.69 Mg/m³
! **E_form (uncorrected)**: 0.1322 eV/atom
! **Space group**: P4/mmm, No. 123

***

No. 6
! Y2TiNiI meta-GGA SCAN single point on PBEsol structure; values from VASP
&SYSTEM
  ibrav = 0, nat = 5, ntyp = 4
/
ATOMIC_SPECIES
Y 88.91 Y.upf
Ti 47.87 Ti.upf
Ni 58.69 Ni.upf
I 126.90 I.upf
CELL_PARAMETERS angstrom
5.5624 0.0000 0.0000
0.0000 5.5624 0.0000
0.0000 0.0000 4.4952
ATOMIC_POSITIONS crystal
Y 0.0000 0.5000 0.0000
Y 0.5000 0.0000 0.0000
Ti 0.0000 0.0000 0.5000
Ni 0.5000 0.5000 0.5000
I 0.5000 0.5000 0.0000
! **Theoretical density**: 4.91 Mg/m³
! **E_form (uncorrected)**: 0.5579 eV/atom
! **Space group**: P4/mmm, No. 123

***

No. 7
! NiWI2 meta-GGA SCAN single point on PBEsol structure; values from VASP
&SYSTEM
  ibrav = 0, nat = 16, ntyp = 3
/
ATOMIC_SPECIES
Ni 58.69 Ni.upf
W 183.84 W.upf
I 126.90 I.upf
CELL_PARAMETERS angstrom
6.6463 0.0000 0.0000
0.0000 6.6463 0.0000
0.0000 0.0000 6.6463
ATOMIC_POSITIONS crystal
Ni 0.0000 0.0000 0.0000
Ni 0.0000 0.5000 0.5000
Ni 0.5000 0.0000 0.5000
Ni 0.5000 0.5000 0.0000
W 0.0000 0.0000 0.5000
W 0.0000 0.5000 0.0000
W 0.5000 0.0000 0.0000
W 0.5000 0.5000 0.5000
I 0.2500 0.2500 0.2500
I 0.2500 0.2500 0.7500
I 0.2500 0.7500 0.2500
I 0.2500 0.7500 0.7500
I 0.7500 0.2500 0.2500
I 0.7500 0.2500 0.7500
I 0.7500 0.7500 0.2500
I 0.7500 0.7500 0.7500
! **Theoretical density**: 11.23 Mg/m³
! **E_form (uncorrected)**: 1.3695 eV/atom
! **Space group**: Fm-3m, No. 225

***

No. 8
! YNiI3 meta-GGA SCAN single point on PBEsol structure; values from VASP
&SYSTEM
  ibrav = 0, nat = 5, ntyp = 3
/
ATOMIC_SPECIES
Y 88.91 Y.upf
Ni 58.69 Ni.upf
I 126.90 I.upf
CELL_PARAMETERS angstrom
5.1549 0.0000 0.0000
0.0000 5.1549 0.0000
0.0000 0.0000 5.1549
ATOMIC_POSITIONS crystal
Y 0.0000 0.0000 0.0000
Ni 0.5000 0.5000 0.5000
I 0.0000 0.5000 0.5000
I 0.5000 0.0000 0.5000
I 0.5000 0.5000 0.0000
! **Theoretical density**: 6.40 Mg/m³
! **E_form (uncorrected)**: -0.1699 eV/atom
! **Space group**: Pm-3m, No. 221

***

No. 9
! Y3NiI meta-GGA SCAN single point on PBEsol structure; values from VASP
&SYSTEM
  ibrav = 0, nat = 5, ntyp = 3
/
ATOMIC_SPECIES
Y 88.91 Y.upf
Ni 58.69 Ni.upf
I 126.90 I.upf
CELL_PARAMETERS angstrom
5.2269 0.0000 0.0000
0.0000 5.2269 0.0000
0.0000 0.0000 5.2269
ATOMIC_POSITIONS crystal
Y 0.0000 0.0000 0.5000
Y 0.0000 0.5000 0.0000
Y 0.5000 0.0000 0.0000
Ni 0.0000 0.0000 0.0000
I 0.5000 0.5000 0.5000
! **Theoretical density**: 5.26 Mg/m³
! **E_form (uncorrected)**: -0.2585 eV/atom
! **Space group**: Pm-3m, No. 221

***

No. 10
! Zn2NiI meta-GGA SCAN single point on PBEsol structure; values from VASP
&SYSTEM
  ibrav = 0, nat = 16, ntyp = 3
/
ATOMIC_SPECIES
Zn 65.41 Zn.upf
Ni 58.69 Ni.upf
I 126.90 I.upf
CELL_PARAMETERS angstrom
6.5579 0.0000 0.0000
0.0000 6.5579 0.0000
0.0000 0.0000 6.5579
ATOMIC_POSITIONS crystal
Zn 0.2500 0.2500 0.2500
Zn 0.2500 0.2500 0.7500
Zn 0.2500 0.7500 0.2500
Zn 0.2500 0.7500 0.7500
Zn 0.7500 0.2500 0.2500
Zn 0.7500 0.2500 0.7500
Zn 0.7500 0.7500 0.2500
Zn 0.7500 0.7500 0.7500
Ni 0.0000 0.0000 0.0000
Ni 0.0000 0.5000 0.5000
Ni 0.5000 0.0000 0.5000
Ni 0.5000 0.5000 0.0000
I 0.0000 0.0000 0.5000
I 0.0000 0.5000 0.0000
I 0.5000 0.0000 0.0000
I 0.5000 0.5000 0.5000
! **Theoretical density**: 7.45 Mg/m³
! **E_form (uncorrected)**: 0.9189 eV/atom
! **Space group**: Fm-3m, No. 225

***

No. 11
! NpI3 meta-GGA SCAN single point on PBEsol structure; values from VASP
&SYSTEM
  ibrav = 0, nat = 16, ntyp = 2
/
ATOMIC_SPECIES
Np 237.00 Np.upf
I 126.90 I.upf
CELL_PARAMETERS angstrom
4.1255 0.0000 0.0000
0.0000 14.1731 0.0000
0.0000 0.0000 9.6910
ATOMIC_POSITIONS crystal
Np 0.0000 0.2373 0.2500
Np 0.0000 0.7627 0.7500
Np 0.5000 0.2627 0.7500
Np 0.5000 0.7373 0.2500
I 0.0000 0.1490 0.5664
I 0.0000 0.1490 0.9336
I 0.0000 0.4214 0.7500
I 0.0000 0.5786 0.2500
I 0.0000 0.8510 0.0664
I 0.0000 0.8510 0.4336
I 0.5000 0.0786 0.2500
I 0.5000 0.3510 0.0664
I 0.5000 0.3510 0.4336
I 0.5000 0.6490 0.5664
I 0.5000 0.6490 0.9336
I 0.5000 0.9214 0.7500
! **Theoretical density**: 7.24 Mg/m³
! **E_form (uncorrected)**: -0.9362 eV/atom
! **Space group**: Cmcm, No. 63

***

No. 12
! NpIO5 meta-GGA SCAN single point on PBEsol structure; values from VASP
&SYSTEM
  ibrav = 0, nat = 28, ntyp = 3
/
ATOMIC_SPECIES
Np 237.00 Np.upf
I 126.90 I.upf
O 16.00 O.upf
CELL_PARAMETERS angstrom
13.6751 0.0000 0.0000
0.0000 5.9946 0.0000
0.0000 0.0000 5.4422
ATOMIC_POSITIONS crystal
Np 0.0300 0.2492 0.0000
Np 0.4700 0.7492 0.5000
Np 0.5300 0.2508 0.0000
Np 0.9700 0.7508 0.5000
I 0.2155 0.5142 0.4903
I 0.2845 0.0142 0.9903
I 0.7155 0.9858 0.4903
I 0.7845 0.4858 0.9903
O 0.0109 0.0082 0.7883
O 0.0486 0.4892 0.2326
O 0.1395 0.7486 0.5841
O 0.1735 0.3129 0.7207
O 0.1756 0.1060 0.1591
O 0.3244 0.6060 0.6591
O 0.3265 0.8129 0.2207
O 0.3605 0.2486 0.0841
O 0.4514 0.9892 0.7326
O 0.4891 0.5082 0.2883
O 0.5109 0.4918 0.7883
O 0.5486 0.0108 0.2326
O 0.6395 0.7514 0.5841
O 0.6735 0.1871 0.7207
O 0.6756 0.3940 0.1591
O 0.8244 0.8940 0.6591
O 0.8265 0.6871 0.2207
O 0.8605 0.2514 0.0841
O 0.9514 0.5108 0.7326
O 0.9891 0.9918 0.2883
! **Theoretical density**: 6.61 Mg/m³
! **E_form (uncorrected)**: -1.7748 eV/atom
! **Space group**: Pna2_1, No. 33